# Nd8TlRh2, relaxed, DFT PBE
data_Nd8TlRh2
_chemical_formula_sum 'Nd16 Tl2 Rh4'
_space_group_name_H-M_alt 'C 1 2/m 1'
_space_group_IT_number 12
_space_group_name_Hall '-C 2y'
_cell_length_a 8.795
_cell_length_b 13.979
_cell_length_c 5.679
_cell_angle_alpha 90.00
_cell_angle_beta 105.06
_cell_angle_gamma 90.00
loop_
_atom_site_label
_atom_site_type_symbol
_atom_site_fract_x
_atom_site_fract_y
_atom_site_fract_z
Nd1 Nd 0.000 0.246 0.000
Nd2 Nd 0.105 0.500 0.807
Nd3 Nd 0.207 0.125 0.562
Tl1 Tl 0.000 0.000 0.000
Rh1 Rh 0.000 0.292 0.500
# Formation enthalpy at 0 K ... -282 meV per atom
# DOS at the Fermi energy ... 13.1 states/eV/f.u.
# Energy ... -5.3016 eV/atom
# V ... 30.649 Å³/atom
# Magnetic moment ... 0.000 μB/atom
# Crystal system ... monoclinic